No. 1
Computed, not measured: a relaxed structure of AgGe2 at the PBE level of DFT.

a = 4.156 Å, b = 4.156 Å, c = 4.796 Å
α = 113.82°, β = 113.82°, γ = 58.93°
Element x y z (fractional)
Ag 0.000 0.000 0.000
Ge 0.788 0.788 0.357
Ge 0.212 0.212 0.643

Properties
* total DFT energy (no corrections): -3.8052 eV/atom
* SG: C2/m (12)

***

No. 2
Computed, not measured: a relaxed structure of Ag9Ge at the PBE level of DFT.

a = 2.901 Å, b = 4.196 Å, c = 43.555 Å
α = 90.00°, β = 90.00°, γ = 90.00°
Element x y z (fractional)
Ag 0.500 0.500 0.210
Ag 0.000 0.000 0.246
Ag 0.500 0.500 0.280
Ag 0.000 0.000 0.313
Ag 0.500 0.500 0.348
Ag 0.000 0.000 0.381
Ag 0.500 0.500 0.415
Ag 0.000 0.000 0.449
Ag 0.500 0.500 0.483
Ag 0.000 0.000 0.517
Ag 0.500 0.500 0.551
Ag 0.000 0.000 0.585
Ag 0.500 0.500 0.619
Ag 0.000 0.000 0.652
Ag 0.500 0.500 0.687
Ag 0.000 0.000 0.720
Ag 0.500 0.500 0.754
Ag 0.000 0.000 0.790
Ge 0.000 0.000 0.182
Ge 0.500 0.500 0.818

Properties
* total DFT energy (no corrections): -2.9413 eV/atom
* SG: Pmmn (59)

***

No. 3
Computed, not measured: a relaxed structure of AgGe2 at the PBE level of DFT.

a = 7.930 Å, b = 7.930 Å, c = 7.930 Å
α = 60.00°, β = 60.00°, γ = 60.00°
Element x y z (fractional)
Ag 0.250 0.250 0.250
Ag 0.500 0.500 0.500
Ge 0.375 0.375 0.375
Ge 0.875 0.375 0.375
Ge 0.375 0.875 0.375
Ge 0.375 0.375 0.875

Properties
* total DFT energy (no corrections): -2.7234 eV/atom
* SG: Fd-3m (227)

***

No. 4
Computed, not measured: a relaxed structure of AgGe at the PBE level of DFT.

a = 3.346 Å, b = 3.346 Å, c = 3.346 Å
α = 90.00°, β = 90.00°, γ = 90.00°
Element x y z (fractional)
Ag 0.000 0.000 0.000
Ge 0.500 0.500 0.500

Properties
* total DFT energy (no corrections): -3.5142 eV/atom
* SG: Pm-3m (221)